Entry 1:
Here is an optimized crystal structure of Pm2Y9Tm from the Alexandria database. Energies are from PBE-GGA.

a = 5.061 Å, b = 5.061 Å, c = 15.184 Å
α = 90.00°, β = 90.00°, γ = 90.00°
Sites, in units of the cell vectors:
Y  0.000  0.500  0.835
Y  0.000  0.500  0.165
Y  0.500  0.000  0.165
Tm  0.000  0.000  0.000
Y  0.500  0.000  0.835
Y  0.500  0.000  0.500
Y  0.500  0.500  0.332
Y  0.500  0.500  0.000
Pm  0.000  0.000  0.667
Y  0.500  0.500  0.668
Y  0.000  0.500  0.500
Pm  0.000  0.000  0.333

Formation energy from the elements ... 25 meV/atom
SG ... No. 123
Crystal system ... tetragonal



Entry 2:
Here is an optimized crystal structure of NbNiSb2 from the Alexandria database. Energies are from PBE-GGA.

a = 3.217 Å, b = 3.217 Å, c = 9.450 Å
α = 80.20°, β = 80.20°, γ = 60.00°
Sites, in units of the cell vectors:
Ni  0.500  0.500  0.500
Sb  0.101  0.101  0.697
Sb  0.899  0.899  0.303
Nb  0.000  0.000  0.000

SG ... No. 166
Crystal system ... trigonal
E_form (uncorrected) ... 1.362 eV per formula unit



Entry 3:
Here is an optimized crystal structure of Na2FeIrPb from the Alexandria database. Energies are from PBE-GGA.

a = 5.500 Å, b = 4.944 Å, c = 5.500 Å
α = 90.00°, β = 90.00°, γ = 90.00°
Each line ends with the local moment (μB).
Sites, in units of the cell vectors:
Ir  0.500  0.500  0.500  1.30
Na  0.500  0.000  0.000  -0.01
Na  0.000  0.000  0.500  -0.01
Pb  0.000  0.000  0.000  -0.16
Fe  0.000  0.500  0.000  2.97

Formation energy from the elements ... 1568 meV/atom
SG ... No. 123
Crystal system ... tetragonal



Entry 4:
Here is an optimized crystal structure of PdCSe2 from the Alexandria database. Energies are from PBE-GGA.

a = 6.411 Å, b = 6.411 Å, c = 6.411 Å
α = 37.71°, β = 37.71°, γ = 37.71°
Sites, in units of the cell vectors:
Se  0.902  0.902  0.902
Se  0.098  0.098  0.098
Pd  0.500  0.500  0.500
C  0.000  0.000  0.000

SG ... No. 166
Crystal system ... trigonal
E_form (uncorrected) ... 2.563 eV per formula unit



Entry 5:
Here is an optimized crystal structure of Rb3ThU3Te8 from the Alexandria database. Energies are from PBE-GGA.

a = 9.046 Å, b = 9.042 Å, c = 10.185 Å
α = 116.23°, β = 89.91°, γ = 120.27°
Each line ends with the local moment (μB).
Sites, in units of the cell vectors:
U  0.500  0.000  0.500  2.70
Rb  0.000  0.000  0.000  0.00
Te  0.265  0.532  0.297  -0.02
Te  0.735  0.468  0.703  -0.02
Rb  0.500  0.500  0.000  0.00
Te  0.765  0.529  0.297  0.00
U  0.000  0.500  0.500  2.72
Te  0.235  0.967  0.702  -0.04
Te  0.235  0.471  0.703  0.00
Te  0.268  0.032  0.297  0.00
Te  0.732  0.968  0.703  0.00
U  0.500  0.500  0.500  -2.63
Th  0.000  0.000  0.500  0.07
Rb  0.000  0.500  0.000  0.00
Te  0.765  0.033  0.298  -0.04

SG ... No. 12
Crystal system ... monoclinic
E_form (uncorrected) ... -13.494 eV per formula unit



Entry 6:
Here is an optimized crystal structure of TlReSe from the Alexandria database. Energies are from PBE-GGA.

a = 3.638 Å, b = 5.181 Å, c = 9.487 Å
α = 74.09°, β = 79.74°, γ = 71.52°
Sites, in units of the cell vectors:
Tl  0.419  0.061  0.948
Tl  0.598  0.362  0.272
Se  0.768  0.546  0.814
Re  0.987  0.306  0.610
Re  0.646  0.976  0.610
Se  0.875  0.728  0.406

SG ... No. 1
Crystal system ... triclinic
E_form (uncorrected) ... 0.260 eV per formula unit
Polymorph energy (0 for the lowest one) ... 0.005 eV per atom